## Ba3Mg2TcO8 (PBE-GGA)

Data for a geometry-optimized Ba3Mg2TcO8 structure.

extended XYZ file:
```
14
Lattice="5.798 0.000 0.000 -2.899 5.022 0.000 0.000 0.000 7.578" Properties=species:S:1:pos:R:3 pbc="T T T"
O 1.366 0.789 4.942
O 0.000 1.577 2.636
O 4.432 0.789 4.942
O 0.000 3.348 7.376
O 2.899 3.444 4.942
O 2.899 1.674 0.202
O 1.533 4.233 2.636
O -1.533 4.233 2.636
Mg 2.899 1.674 5.910
Mg 0.000 3.348 1.669
Tc 0.000 0.000 3.789
Ba 0.000 3.348 4.987
Ba 2.899 1.674 2.591
Ba 0.000 0.000 0.000
```

Summary:
Formation energy without anion corrections = -214.4 kJ/mol of atoms